[1]
RbSnSeBr2 | PBE-GGA | relaxed

Output
Its relative energy among the computed polymorphs is 0.00 kcal/mol of atoms. The uncorrected formation energy is -880 meV/atom. The density of states at the Fermi level is 1.7 states/eV/f.u.

Unit cell a=5.8185 b=5.8185 c=5.2749 alpha=90.00 beta=90.00 gamma=90.00
Element x y z (fractional)
Rb: 0.0000 0.0000 0.0000
Sn: 0.5000 0.5000 0.5000
Se: 0.5000 0.5000 0.0000
Br: 0.0000 0.5000 0.5000
Br: 0.5000 0.0000 0.5000

=====

[2]
Cs2Rb5Cd | PBE-GGA | relaxed

Output
The calculation puts the formation enthalpy at 0 K at 0.495 eV per formula unit. The density of states at the Fermi level is 6.8 states/eV/f.u.

Unit cell a=9.2504 b=9.2504 c=18.0330 alpha=90.00 beta=90.00 gamma=90.00
Element x y z (fractional)
Cs: 0.0000 0.5000 0.0000
Cs: 0.0000 0.5000 0.5000
Cs: 0.5000 0.0000 0.0000
Cs: 0.5000 0.0000 0.5000
Rb: 0.0000 0.0000 0.0921
Rb: 0.2440 0.2440 0.7757
Rb: 0.2440 0.7560 0.7757
Rb: 0.2560 0.2560 0.2757
Rb: 0.2560 0.7440 0.2757
Rb: 0.5000 0.5000 0.5921
Rb: 0.7440 0.2560 0.2757
Rb: 0.7440 0.7440 0.2757
Rb: 0.7560 0.2440 0.7757
Rb: 0.7560 0.7560 0.7757
Cd: 0.0000 0.0000 0.8917
Cd: 0.5000 0.5000 0.3917

=====

[3]
ReBr2Cl | PBE-GGA | relaxed

Output
Its relative energy among the computed polymorphs is 8.33 kcal/mol of atoms. The uncorrected formation energy is 297 meV/atom. The density of states at the Fermi level is 2.4 states/eV/f.u.

Unit cell a=3.1123 b=4.6668 c=14.6684 alpha=90.00 beta=90.00 gamma=90.00
Element x y z (fractional)
Re: 0.0000 0.0000 0.0000
Re: 0.5000 0.5000 0.5000
Br: 0.0000 0.5000 0.3597
Br: 0.0000 0.5000 0.6403
Br: 0.5000 0.0000 0.1403
Br: 0.5000 0.0000 0.8597
Cl: 0.0000 0.0000 0.5000
Cl: 0.5000 0.5000 0.0000

=====

[4]
Li2Hf2H | PBE-GGA | relaxed

Output
Its relative energy among the computed polymorphs is 0.00 kcal/mol of atoms. The density of states at the Fermi level is 2.7 states/eV/f.u.

Unit cell a=5.5883 b=5.5883 c=5.5909 alpha=90.00 beta=90.00 gamma=90.00
Element x y z (fractional)
Li: 0.1760 0.3240 0.0000
Li: 0.3240 0.8240 0.0000
Li: 0.6760 0.1760 0.0000
Li: 0.8240 0.6760 0.0000
Hf: 0.1747 0.6747 0.5000
Hf: 0.3253 0.1747 0.5000
Hf: 0.6747 0.8253 0.5000
Hf: 0.8253 0.3253 0.5000
H: 0.0000 0.0000 0.0000
H: 0.5000 0.5000 0.0000

=====

[5]
KSr2InS4 | PBE-GGA | relaxed

Output
The uncorrected formation energy is -1376 meV/atom.

Unit cell a=8.4127 b=8.4127 c=8.4127 alpha=120.00 beta=118.79 gamma=91.06
Element x y z (fractional)
K: 0.5000 0.0000 0.0000
K: 0.5000 0.5000 0.5000
Sr: 0.0000 0.0000 0.0000
Sr: 0.0000 0.0000 0.5000
Sr: 0.0000 0.5000 0.0000
Sr: 0.5000 0.0000 0.5000
In: 0.0000 0.5000 0.5000
In: 0.5000 0.5000 0.0000
S: 0.2072 0.7175 0.4897
S: 0.2465 0.2504 0.5039
S: 0.2465 0.7426 0.9961
S: 0.2722 0.2825 0.9897
S: 0.7278 0.7175 0.0103
S: 0.7535 0.2574 0.0039
S: 0.7535 0.7496 0.4961
S: 0.7928 0.2825 0.5103

=====

[6]
BaMgTe2 | PBE-GGA | relaxed

Output
The uncorrected formation energy is -1212 meV/atom. The density of states at the Fermi level is 0.0 states/eV/f.u.

Unit cell a=4.5254 b=4.5254 c=23.4113 alpha=90.00 beta=90.00 gamma=120.00
Element x y z (fractional)
Ba: 0.0000 0.0000 0.0000
Ba: 0.3333 0.6667 0.6667
Ba: 0.6667 0.3333 0.3333
Mg: 0.0000 0.0000 0.8310
Mg: 0.3333 0.6667 0.4977
Mg: 0.6667 0.3333 0.1643
Te: 0.0000 0.0000 0.2342
Te: 0.0000 0.0000 0.4313
Te: 0.3333 0.6667 0.0979
Te: 0.3333 0.6667 0.9008
Te: 0.6667 0.3333 0.5675
Te: 0.6667 0.3333 0.7646

=====

[7]
CuNi2Rh | PBE-GGA | relaxed

Output
The calculation puts the formation enthalpy at 0 K at 0.432 eV per formula unit. The density of states at the Fermi level is 6.2 states/eV/f.u.

Unit cell a=2.6946 b=4.2629 c=8.4824 alpha=90.00 beta=90.00 gamma=90.00
Element x y z (fractional)
Cu: 0.0000 0.0000 0.0000
Cu: 0.5000 0.5000 0.5000
Ni: 0.0000 0.0000 0.4819
Ni: 0.0000 0.5000 0.7463
Ni: 0.5000 0.0000 0.2463
Ni: 0.5000 0.5000 0.9819
Rh: 0.0000 0.5000 0.2343
Rh: 0.5000 0.0000 0.7343

=====

[8]
TmSi3Ni5 | PBE-GGA | relaxed

Output
The uncorrected formation energy is -654 meV/atom. The density of states at the Fermi level is 4.7 states/eV/f.u.

Unit cell a=6.1145 b=6.1145 c=11.5309 alpha=90.00 beta=90.00 gamma=145.40
Element x y z (fractional)
Tm: 0.1566 0.8434 0.7500
Tm: 0.8434 0.1566 0.2500
Si: 0.1147 0.8853 0.2500
Si: 0.3830 0.6170 0.0414
Si: 0.3830 0.6170 0.4586
Si: 0.6170 0.3830 0.5414
Si: 0.6170 0.3830 0.9586
Si: 0.8853 0.1147 0.7500
Ni: 0.0000 0.0000 0.0000
Ni: 0.0000 0.0000 0.5000
Ni: 0.1975 0.8025 0.0688
Ni: 0.1975 0.8025 0.4312
Ni: 0.4496 0.5504 0.6457
Ni: 0.4496 0.5504 0.8543
Ni: 0.5504 0.4496 0.1457
Ni: 0.5504 0.4496 0.3543
Ni: 0.8025 0.1975 0.5688
Ni: 0.8025 0.1975 0.9312

=====

[9]
MgCdCl2 | PBE-GGA | relaxed

Output
Its relative energy among the computed polymorphs is 4.09 kcal/mol of atoms. The uncorrected formation energy is -1088 meV/atom.

Unit cell a=3.4518 b=6.7768 c=10.6686 alpha=90.00 beta=90.00 gamma=90.00
Element x y z (fractional)
Mg: 0.0000 0.0000 0.0000
Mg: 0.5000 0.5000 0.5000
Cd: 0.0000 0.0000 0.5000
Cd: 0.5000 0.5000 0.0000
Cl: 0.0000 0.5000 0.3431
Cl: 0.0000 0.5000 0.6569
Cl: 0.5000 0.0000 0.1569
Cl: 0.5000 0.0000 0.8431

=====

[10]
YFe2P | PBE-GGA | relaxed

Output
The calculation puts the formation enthalpy at 0 K at -0.110 eV per formula unit. The density of states at the Fermi level is 2.6 states/eV/f.u.

Unit cell a=4.1062 b=4.1062 c=7.4525 alpha=90.00 beta=90.00 gamma=90.00
Element x y z (fractional)
Y: 0.0000 0.0000 0.0000
Y: 0.5000 0.5000 0.5000
Fe: 0.0000 0.0000 0.5000
Fe: 0.0000 0.5000 0.7500
Fe: 0.5000 0.0000 0.2500
Fe: 0.5000 0.5000 0.0000
P: 0.0000 0.5000 0.2500
P: 0.5000 0.0000 0.7500

=====

[11]
ZnSnRh2 | PBE-GGA | relaxed

Output
The calculation puts the formation enthalpy at 0 K at -0.873 eV per formula unit. The density of states at the Fermi level is 3.9 states/eV/f.u.

Unit cell a=3.1571 b=3.1571 c=23.0140 alpha=90.00 beta=90.00 gamma=120.00
Element x y z (fractional)
Zn: 0.0000 0.0000 0.0000
Zn: 0.3333 0.6667 0.6667
Zn: 0.6667 0.3333 0.3333
Sn: 0.0000 0.0000 0.1666
Sn: 0.3333 0.6667 0.8333
Sn: 0.6667 0.3333 0.5000
Rh: 0.0000 0.0000 0.5860
Rh: 0.0000 0.0000 0.7474
Rh: 0.3333 0.6667 0.2527
Rh: 0.3333 0.6667 0.4141
Rh: 0.6667 0.3333 0.0807
Rh: 0.6667 0.3333 0.9193

=====

[12]
LaPmBi2 | PBE-GGA | relaxed

Output
Its relative energy among the computed polymorphs is 2.68 kcal/mol of atoms. The calculation puts the formation enthalpy at 0 K at -3.530 eV per formula unit. The density of states at the Fermi level is 0.4 states/eV/f.u.

Unit cell a=4.6017 b=4.6017 c=23.7167 alpha=90.00 beta=90.00 gamma=120.00
Element x y z (fractional)
La: 0.0000 0.0000 0.0000
La: 0.3333 0.6667 0.6667
La: 0.6667 0.3333 0.3333
Pm: 0.0000 0.0000 0.8290
Pm: 0.3333 0.6667 0.4957
Pm: 0.6667 0.3333 0.1624
Bi: 0.0000 0.0000 0.4151
Bi: 0.0000 0.0000 0.5803
Bi: 0.3333 0.6667 0.0818
Bi: 0.3333 0.6667 0.2470
Bi: 0.6667 0.3333 0.7484
Bi: 0.6667 0.3333 0.9137

=====

Computed total energy (eV per cell) in order:
-16.20 -13.93 -32.90 -49.38 -69.43 -43.95 -45.16 -111.07 -21.11 -57.82 -62.56 -62.91
Computed ρ (g cm⁻³) in order:
4.12 1.73 5.95 7.07 3.58 5.00 9.67 7.42 2.76 6.12 9.78 8.04